1.
{
  "formula": "In3Pb",
  "functional": "GGA-PBEsol",
  "state": "optimized geometry",
  "lattice_angstrom": [[3.280, 0.000, 0.099], [0.000, 5.388, 0.000], [-0.870, 0.000, 6.013]],
  "species": ["In", "In", "In", "Pb"],
  "frac_coords": [[0.796, 0.000, 0.745], [0.204, 0.000, 0.255], [0.000, 0.500, 0.500], [0.500, 0.500, 0.000]],
  "ef_mev_per_atom": 25,
  "dos_ef_per_ev_fu": 1.8,
  "crystal_system": "monoclinic",
  "spacegroup": "P2/m (10)"
}

=====

2.
{
  "formula": "LaPbSe2",
  "functional": "GGA-PBEsol",
  "state": "optimized geometry",
  "lattice_angstrom": [[3.712, 0.000, 0.055], [0.000, 3.829, 0.000], [-0.107, 0.000, 7.897]],
  "species": ["La", "Se", "Se", "Pb"],
  "frac_coords": [[0.500, 0.500, 0.000], [0.000, 0.000, 0.204], [0.000, 0.000, 0.796], [0.000, 0.500, 0.500]],
  "dos_ef_per_ev_fu": 1.1,
  "e_form_raw_ev_per_fu": -4.92,
  "crystal_system": "monoclinic",
  "spacegroup": "P2/m (10)"
}

=====

3.
{
  "formula": "K3Ir",
  "functional": "GGA-PBEsol",
  "state": "optimized geometry",
  "lattice_angstrom": [[6.151, 0.000, 0.000], [0.000, 6.151, 0.000], [0.000, 0.000, 6.151]],
  "species": ["K", "K", "K", "K", "K", "K", "Ir", "Ir"],
  "frac_coords": [[0.500, 0.000, 0.750], [0.000, 0.250, 0.500], [0.750, 0.500, 0.000], [0.250, 0.500, 0.000], [0.000, 0.750, 0.500], [0.500, 0.000, 0.250], [0.000, 0.000, 0.000], [0.500, 0.500, 0.500]],
  "ef_mev_per_atom": 825,
  "de_polymorph_ev_per_atom": 0.0000,
  "dos_ef_per_ev_fu": 6.7,
  "crystal_system": "cubic",
  "spacegroup": "Pm-3n (223)"
}

=====

4.
{
  "formula": "CaSi2Ni",
  "functional": "GGA-PBEsol",
  "state": "optimized geometry",
  "lattice_angstrom": [[-3.139, -2.642, -1.745], [1.133, -0.412, 4.281], [-2.841, 1.265, 3.195]],
  "species": ["Ca", "Ni", "Si", "Si"],
  "frac_coords": [[0.500, 0.000, 0.500], [0.000, 0.000, 0.000], [0.250, 0.500, 0.250], [0.750, 0.500, 0.750]],
  "dos_ef_per_ev_fu": 1.2,
  "e_form_raw_ev_per_fu": -0.01,
  "crystal_system": "tetragonal",
  "spacegroup": "I4/mmm (139)"
}

=====

5.
{
  "formula": "CsRbMn2Cl6",
  "functional": "GGA-PBEsol",
  "state": "optimized geometry",
  "lattice_angstrom": [[-2.970, -9.801, 5.929], [13.545, -4.443, -0.561], [-4.442, 7.977, 10.962]],
  "species": ["Mn", "Mn", "Mn", "Mn", "Mn", "Mn", "Mn", "Mn", "Mn", "Mn", "Mn", "Mn", "Mn", "Mn", "Mn", "Mn", "Cl", "Cl", "Cl", "Cl", "Cl", "Cl", "Cl", "Cl", "Cl", "Cl", "Cl", "Cl", "Cl", "Cl", "Cl", "Cl", "Cl", "Cl", "Cl", "Cl", "Cl", "Cl", "Cl", "Cl", "Cl", "Cl", "Cl", "Cl", "Cl", "Cl", "Cl", "Cl", "Cl", "Cl", "Cl", "Cl", "Cl", "Cl", "Cl", "Cl", "Cl", "Cl", "Cl", "Cl", "Cl", "Cl", "Cl", "Cl", "Rb", "Rb", "Rb", "Rb", "Rb", "Rb", "Rb", "Rb", "Cs", "Cs", "Cs", "Cs", "Cs", "Cs", "Cs", "Cs"],
  "frac_coords": [[0.882, 0.333, 0.667], [0.118, 0.166, 0.331], [0.382, 0.166, 0.834], [0.118, 0.667, 0.333], [0.118, 0.166, 0.834], [0.118, 0.669, 0.834], [0.382, 0.667, 0.333], [0.382, 0.166, 0.331], [0.618, 0.333, 0.667], [0.618, 0.331, 0.166], [0.382, 0.669, 0.834], [0.618, 0.834, 0.166], [0.882, 0.834, 0.166], [0.882, 0.834, 0.669], [0.618, 0.834, 0.669], [0.882, 0.331, 0.166], [0.999, 0.249, 0.498], [0.250, 0.325, 0.915], [0.501, 0.249, 0.498], [0.250, 0.085, 0.675], [0.750, 0.410, 0.085], [0.750, 0.675, 0.590], [0.500, 0.247, 0.247], [0.250, 0.086, 0.914], [0.750, 0.175, 0.587], [0.750, 0.413, 0.587], [0.750, 0.914, 0.086], [0.250, 0.828, 0.914], [0.001, 0.751, 0.249], [0.250, 0.086, 0.172], [0.750, 0.915, 0.325], [0.499, 0.751, 0.502], [0.499, 0.751, 0.249], [0.500, 0.000, 0.247], [0.000, 0.000, 0.753], [0.000, 0.000, 0.247], [0.250, 0.085, 0.410], [0.501, 0.249, 0.751], [0.500, 0.247, 0.000], [0.499, 0.498, 0.249], [0.750, 0.915, 0.590], [0.999, 0.249, 0.751], [0.250, 0.825, 0.413], [0.999, 0.502, 0.751], [0.750, 0.675, 0.085], [0.500, 0.753, 0.753], [0.000, 0.247, 0.000], [0.501, 0.502, 0.751], [0.750, 0.914, 0.828], [0.250, 0.587, 0.175], [0.750, 0.413, 0.825], [0.500, 0.753, 0.000], [0.250, 0.325, 0.410], [0.750, 0.410, 0.325], [0.250, 0.590, 0.675], [0.000, 0.753, 0.000], [0.750, 0.172, 0.086], [0.000, 0.753, 0.753], [0.250, 0.587, 0.413], [0.250, 0.590, 0.915], [0.001, 0.751, 0.502], [0.000, 0.247, 0.247], [0.001, 0.498, 0.249], [0.500, 0.000, 0.753], [0.750, 0.166, 0.332], [0.500, 0.000, 0.000], [0.000, 0.000, 0.000], [0.250, 0.834, 0.668], [0.750, 0.166, 0.834], [0.250, 0.834, 0.166], [0.250, 0.332, 0.166], [0.750, 0.668, 0.834], [0.500, 0.000, 0.500], [0.000, 0.000, 0.500], [0.750, 0.667, 0.333], [0.250, 0.333, 0.667], [0.500, 0.500, 0.500], [0.000, 0.500, 0.500], [0.500, 0.500, 0.000], [0.000, 0.500, 0.000]],
  "e_form_raw_ev_per_fu": -14.19,
  "crystal_system": "hexagonal",
  "spacegroup": "P6_3/mmc (194)"
}

=====

6.
{
  "formula": "Mg4AsAu",
  "functional": "GGA-PBEsol",
  "state": "optimized geometry",
  "lattice_angstrom": [[5.559, 0.000, 0.000], [2.780, 4.814, 0.000], [2.780, 1.605, 4.539]],
  "species": ["As", "Mg", "Mg", "Mg", "Mg", "Au"],
  "frac_coords": [[0.750, 0.750, 0.750], [0.874, 0.375, 0.375], [0.375, 0.874, 0.375], [0.375, 0.375, 0.874], [0.375, 0.375, 0.375], [0.000, 0.000, 0.000]],
  "ef_mev_per_atom": 88,
  "dos_ef_per_ev_fu": 2.3,
  "crystal_system": "cubic",
  "spacegroup": "F-43m (216)"
}

=====

7.
{
  "formula": "In4PPb",
  "functional": "GGA-PBEsol",
  "state": "optimized geometry",
  "lattice_angstrom": [[6.005, 0.000, 0.000], [3.003, 5.201, 0.000], [3.003, 1.734, 4.903]],
  "species": ["P", "In", "In", "In", "In", "Pb"],
  "frac_coords": [[0.750, 0.750, 0.750], [0.375, 0.375, 0.375], [0.874, 0.375, 0.375], [0.375, 0.375, 0.874], [0.375, 0.874, 0.375], [0.000, 0.000, 0.000]],
  "ef_mev_per_atom": 352,
  "dos_ef_per_ev_fu": 3.3,
  "crystal_system": "cubic",
  "spacegroup": "F-43m (216)"
}

=====

8.
{
  "formula": "FeI3O9",
  "functional": "GGA-PBEsol",
  "state": "optimized geometry",
  "lattice_angstrom": [[-2.138, -2.751, 3.820], [4.764, -6.985, -2.365], [3.177, 5.694, 5.879]],
  "species": ["Fe", "Fe", "O", "O", "O", "O", "O", "O", "O", "O", "O", "O", "O", "O", "O", "O", "O", "O", "O", "O", "I", "I", "I", "I", "I", "I"],
  "frac_coords": [[0.368, 0.667, 0.333], [0.868, 0.333, 0.667], [0.666, 0.126, 0.565], [0.596, 0.720, 0.200], [0.096, 0.280, 0.800], [0.666, 0.439, 0.874], [0.166, 0.561, 0.126], [0.596, 0.800, 0.520], [0.096, 0.520, 0.720], [0.166, 0.565, 0.439], [0.257, 0.946, 0.164], [0.666, 0.435, 0.561], [0.257, 0.836, 0.781], [0.257, 0.219, 0.054], [0.757, 0.054, 0.836], [0.757, 0.164, 0.219], [0.166, 0.874, 0.435], [0.757, 0.781, 0.946], [0.596, 0.480, 0.280], [0.096, 0.200, 0.480], [0.990, 0.337, 0.026], [0.990, 0.974, 0.311], [0.490, 0.663, 0.974], [0.490, 0.026, 0.689], [0.490, 0.311, 0.337], [0.990, 0.689, 0.663]],
  "dos_ef_per_ev_fu": 6.7,
  "e_form_raw_ev_per_fu": -6.14,
  "crystal_system": "hexagonal",
  "spacegroup": "P6_3 (173)"
}

=====

9.
{
  "formula": "InRh2Au",
  "functional": "GGA-PBEsol",
  "state": "optimized geometry",
  "lattice_angstrom": [[-4.118, 0.040, -0.613], [2.023, -4.195, 0.274], [-0.549, -2.099, 3.554]],
  "species": ["Au", "Rh", "Rh", "In"],
  "frac_coords": [[0.500, 0.000, 0.500], [0.250, 0.500, 0.250], [0.750, 0.500, 0.750], [0.000, 0.000, 0.000]],
  "ef_mev_per_atom": -120,
  "dos_ef_per_ev_fu": 5.7,
  "crystal_system": "tetragonal",
  "spacegroup": "I4/mmm (139)"
}

=====

10.
{
  "formula": "BeTc2P",
  "functional": "GGA-PBEsol",
  "state": "optimized geometry",
  "lattice_angstrom": [[2.949, 0.000, 0.000], [0.000, 3.812, 0.000], [-1.475, 0.000, 4.147]],
  "species": ["P", "Tc", "Tc", "Be"],
  "frac_coords": [[0.544, 0.500, 0.087], [0.986, 0.000, 0.972], [0.264, 0.500, 0.528], [0.711, 0.000, 0.421]],
  "ef_mev_per_atom": -459,
  "de_polymorph_ev_per_atom": 0.0000,
  "dos_ef_per_ev_fu": 1.8,
  "crystal_system": "orthorhombic",
  "spacegroup": "Amm2 (38)"
}

=====

11.
{
  "formula": "NiIr2Se",
  "functional": "GGA-PBEsol",
  "state": "optimized geometry",
  "lattice_angstrom": [[2.849, 0.000, 0.000], [0.000, 4.401, 0.000], [0.000, 0.000, 4.401]],
  "species": ["Ir", "Ir", "Se", "Ni"],
  "frac_coords": [[0.000, 0.000, 0.500], [0.000, 0.500, 0.000], [0.500, 0.000, 0.000], [0.500, 0.500, 0.500]],
  "de_polymorph_ev_per_atom": 0.1212,
  "dos_ef_per_ev_fu": 6.3,
  "e_form_raw_ev_per_fu": 1.81,
  "crystal_system": "tetragonal",
  "spacegroup": "P4/mmm (123)"
}

=====

12.
{
  "formula": "Sr2MoPb",
  "functional": "GGA-PBEsol",
  "state": "optimized geometry",
  "lattice_angstrom": [[-1.565, -1.093, -4.597], [5.696, -1.043, 1.004], [1.170, -4.782, 0.739]],
  "species": ["Sr", "Sr", "Mo", "Pb"],
  "frac_coords": [[0.250, 0.500, 0.250], [0.750, 0.500, 0.750], [0.500, 0.000, 0.500], [0.000, 0.000, 0.000]],
  "ef_mev_per_atom": 595,
  "dos_ef_per_ev_fu": 2.2,
  "crystal_system": "tetragonal",
  "spacegroup": "I4/mmm (139)"
}

=====

13.
{
  "formula": "Re3RuN",
  "functional": "GGA-PBEsol",
  "state": "optimized geometry",
  "lattice_angstrom": [[4.600, 0.000, 0.000], [0.000, 4.600, 0.000], [0.000, 0.000, 4.600]],
  "species": ["Re", "Re", "Re", "N", "Ru"],
  "frac_coords": [[0.000, 0.000, 0.500], [0.000, 0.500, 0.000], [0.500, 0.000, 0.000], [0.500, 0.500, 0.500], [0.000, 0.000, 0.000]],
  "dos_ef_per_ev_fu": 4.8,
  "e_form_raw_ev_per_fu": 17.49,
  "crystal_system": "cubic",
  "spacegroup": "Pm-3m (221)"
}

=====

14.
{
  "formula": "MnAg2Se",
  "functional": "GGA-PBEsol",
  "state": "optimized geometry",
  "lattice_angstrom": [[3.609, 0.000, 0.000], [0.000, 4.401, 0.000], [-1.805, -2.201, 4.324]],
  "species": ["Mn", "Se", "Ag", "Ag"],
  "frac_coords": [[0.515, 0.515, 0.030], [0.217, 0.717, 0.435], [0.997, 0.997, 0.994], [0.771, 0.271, 0.541]],
  "dos_ef_per_ev_fu": 2.7,
  "e_form_raw_ev_per_fu": 0.93,
  "crystal_system": "orthorhombic",
  "spacegroup": "Imm2 (44)"
}

=====

15.
{
  "formula": "EuSeClO3",
  "functional": "GGA-PBEsol",
  "state": "optimized geometry",
  "lattice_angstrom": [[-7.001, -1.259, -0.195], [0.181, -2.062, 6.826], [-1.593, 8.457, 2.597]],
  "species": ["O", "O", "O", "O", "O", "O", "O", "O", "O", "O", "O", "O", "Eu", "Eu", "Eu", "Eu", "Cl", "Cl", "Cl", "Cl", "Se", "Se", "Se", "Se"],
  "frac_coords": [[0.074, 0.853, 0.569], [0.426, 0.353, 0.931], [0.250, 0.755, 0.819], [0.574, 0.647, 0.069], [0.574, 0.147, 0.431], [0.926, 0.647, 0.069], [0.750, 0.245, 0.181], [0.074, 0.353, 0.931], [0.250, 0.255, 0.681], [0.926, 0.147, 0.431], [0.750, 0.745, 0.319], [0.426, 0.853, 0.569], [0.750, 0.390, 0.957], [0.750, 0.890, 0.543], [0.250, 0.110, 0.457], [0.250, 0.610, 0.043], [0.750, 0.036, 0.828], [0.750, 0.536, 0.672], [0.250, 0.464, 0.328], [0.250, 0.964, 0.172], [0.250, 0.206, 0.866], [0.250, 0.706, 0.634], [0.750, 0.794, 0.134], [0.750, 0.294, 0.366]],
  "dos_ef_per_ev_fu": 11.2,
  "e_form_raw_ev_per_fu": -10.34,
  "crystal_system": "orthorhombic",
  "spacegroup": "Pnma (62)"
}

=====

16.
{
  "formula": "Sc3Pb5",
  "functional": "GGA-PBEsol",
  "state": "optimized geometry",
  "lattice_angstrom": [[-0.228, 3.738, -2.296], [-5.047, 2.107, 3.931], [4.985, 2.587, 3.718]],
  "species": ["Pb", "Pb", "Pb", "Pb", "Pb", "Sc", "Sc", "Sc"],
  "frac_coords": [[0.000, 0.000, 0.000], [0.000, 0.500, 0.000], [0.500, 0.722, 0.722], [0.000, 0.000, 0.500], [0.500, 0.278, 0.278], [0.500, 0.778, 0.222], [0.500, 0.222, 0.778], [0.000, 0.500, 0.500]],
  "ef_mev_per_atom": -281,
  "de_polymorph_ev_per_atom": 0.0000,
  "dos_ef_per_ev_fu": 4.1,
  "crystal_system": "orthorhombic",
  "spacegroup": "Cmmm (65)"
}

=====

17.
{
  "formula": "CaCdPt2",
  "functional": "GGA-PBEsol",
  "state": "optimized geometry",
  "lattice_angstrom": [[3.896, 0.000, 0.000], [0.000, 4.266, 0.000], [0.000, 0.000, 4.266]],
  "species": ["Ca", "Cd", "Pt", "Pt"],
  "frac_coords": [[0.500, 0.500, 0.500], [0.500, 0.000, 0.000], [0.000, 0.500, 0.000], [0.000, 0.000, 0.500]],
  "ef_mev_per_atom": -581,
  "dos_ef_per_ev_fu": 0.9,
  "crystal_system": "tetragonal",
  "spacegroup": "P4/mmm (123)"
}

=====

18.
{
  "formula": "ZnSb3Ir",
  "functional": "GGA-PBEsol",
  "state": "optimized geometry",
  "lattice_angstrom": [[5.158, 0.000, 0.000], [0.000, 5.158, 0.000], [0.000, 0.000, 5.158]],
  "species": ["Zn", "Sb", "Sb", "Sb", "Ir"],
  "frac_coords": [[0.500, 0.500, 0.500], [0.000, 0.500, 0.000], [0.500, 0.000, 0.000], [0.000, 0.000, 0.500], [0.000, 0.000, 0.000]],
  "dos_ef_per_ev_fu": 5.1,
  "e_form_raw_ev_per_fu": 3.20,
  "crystal_system": "cubic",
  "spacegroup": "Pm-3m (221)"
}

=====

19.
{
  "formula": "Fe2AsPb",
  "functional": "GGA-PBEsol",
  "state": "optimized geometry",
  "lattice_angstrom": [[-0.441, -3.241, -2.407], [2.816, -2.927, -0.002], [-1.704, -4.460, 2.891]],
  "species": ["Fe", "Fe", "As", "Pb"],
  "frac_coords": [[0.311, 0.311, 0.067], [0.689, 0.689, 0.933], [0.000, 0.000, 0.000], [0.500, 0.500, 0.500]],
  "ef_mev_per_atom": 201,
  "de_polymorph_ev_per_atom": 0.0000,
  "dos_ef_per_ev_fu": 2.9,
  "crystal_system": "trigonal",
  "spacegroup": "R-3m (166)"
}

=====

20.
{
  "formula": "CaIn",
  "functional": "GGA-PBEsol",
  "state": "optimized geometry",
  "lattice_angstrom": [[-1.169, 2.359, 2.725], [-3.454, 0.085, -1.555], [-1.029, -2.964, 2.124]],
  "species": ["Ca", "In"],
  "frac_coords": [[0.000, 0.000, 0.000], [0.500, 0.500, 0.500]],
  "ef_mev_per_atom": -509,
  "dos_ef_per_ev_fu": 1.1,
  "crystal_system": "cubic",
  "spacegroup": "Pm-3m (221)"
}

=====

Uncorrected energy: -3.21; -5.49; -2.48; -4.95; -4.77; -2.56; -3.27; -5.20; -5.92; -8.54; -6.96; -4.27; -8.24; -4.83; -7.08; -5.26; -4.90; -4.38; -6.56; -3.07 (eV/atom)
Calculated density: 8.6; 7.5; 4.4; 4.1; 3.4; 5.0; 7.6; 5.6; 13.7; 8.4; 15.7; 6.8; 11.5; 8.5; 4.6; 9.8; 12.7; 7.5; 9.0; 4.7 (g cm⁻³)